First-principles (PBE) data for crystalline Ba3Zn2RhO8 at its relaxed geometry, as listed in Alexandria via LeMat-Bulk.

Computed properties:
* ΔE_f (raw): -1.6404 eV per atom

Geometry as CIF:
```
data_Ba3Zn2RhO8
_chemical_formula_sum 'Ba3 Zn2 Rh1 O8'
_cell_length_a 5.7962
_cell_length_b 5.7962
_cell_length_c 7.6008
_cell_angle_alpha 90.00
_cell_angle_beta 90.00
_cell_angle_gamma 120.00
_space_group_name_H-M_alt 'P -3 m 1'
_space_group_IT_number 164
_space_group_name_Hall '-P 3 2"'
loop_
_atom_site_label
_atom_site_type_symbol
_atom_site_fract_x
_atom_site_fract_y
_atom_site_fract_z
Ba1 Ba 0.0000 0.0000 0.0000
Ba2 Ba 0.3333 0.6667 0.6494
Zn1 Zn 0.3333 0.6667 0.2163
Rh1 Rh 0.0000 0.0000 0.5000
O1 O 0.1582 0.3163 0.3424
O2 O 0.3333 0.6667 0.9753
```